# 1
VASP calculation (PBE-GGA) on a geometry-optimized AcZnGeCl structure.

Cell and atoms, written as CIF:
```
data_AcZnGeCl
_cell_length_a 4.4242
_cell_length_b 4.4242
_cell_length_c 40.1419
_cell_angle_alpha 90.00
_cell_angle_beta 90.00
_cell_angle_gamma 120.00
_space_group_name_H-M_alt 'R -3 m'
_space_group_IT_number 166
_space_group_name_Hall '-R 3 2"'
loop_
_atom_site_label
_atom_site_type_symbol
_atom_site_fract_x
_atom_site_fract_y
_atom_site_fract_z
Ac1 Ac 0.0000 0.0000 0.0854
Zn1 Zn 0.0000 0.0000 0.3083
Ge1 Ge 0.0000 0.0000 0.3743
Cl1 Cl 0.0000 0.0000 0.2057
```

Properties
Crystal system: trigonal
Energy relative to the elements, uncorrected (kJ/mol of formula units): -417.5

# 2
VASP calculation (PBE-GGA) on a geometry-optimized ZrNbB2 structure.

Cell and atoms, written as CIF:
```
data_ZrNbB2
_cell_length_a 3.2017
_cell_length_b 3.4158
_cell_length_c 9.1980
_cell_angle_alpha 90.00
_cell_angle_beta 90.00
_cell_angle_gamma 90.00
_space_group_name_H-M_alt 'A m m 2'
_space_group_IT_number 38
_space_group_name_Hall 'A 2 -2'
loop_
_atom_site_label
_atom_site_type_symbol
_atom_site_fract_x
_atom_site_fract_y
_atom_site_fract_z
Zr1 Zr 0.0000 0.0000 0.0000
Nb1 Nb 0.5000 0.0000 0.7137
B1 B 0.0000 0.0000 0.2939
B2 B 0.5000 0.0000 0.3995
```

Properties
Crystal system: orthorhombic
Distance to the lowest polymorph of the same formula (eV/atom): 0.000
Energy of formation from the pure elements (eV/atom): -0.72

# 3
VASP calculation (PBE-GGA) on a geometry-optimized Cs2ZnGeN structure.

Cell and atoms, written as CIF:
```
data_Cs2ZnGeN
_cell_length_a 6.6620
_cell_length_b 6.6620
_cell_length_c 3.8737
_cell_angle_alpha 90.00
_cell_angle_beta 90.00
_cell_angle_gamma 90.00
_space_group_name_H-M_alt 'P 4/m m m'
_space_group_IT_number 123
_space_group_name_Hall '-P 4 2'
loop_
_atom_site_label
_atom_site_type_symbol
_atom_site_fract_x
_atom_site_fract_y
_atom_site_fract_z
Cs1 Cs 0.0000 0.5000 0.0000
Zn1 Zn 0.0000 0.0000 0.5000
Ge1 Ge 0.5000 0.5000 0.5000
N1 N 0.5000 0.5000 0.0000
```

Properties
Crystal system: tetragonal
Energy relative to the elements, uncorrected (kJ/mol of formula units): 157.9

# 4
VASP calculation (PBE-GGA) on a geometry-optimized Sc2VW structure.

Cell and atoms, written as CIF:
```
data_Sc2VW
_cell_length_a 6.6888
_cell_length_b 6.6888
_cell_length_c 6.6888
_cell_angle_alpha 90.00
_cell_angle_beta 90.00
_cell_angle_gamma 90.00
_space_group_name_H-M_alt 'F m -3 m'
_space_group_IT_number 225
_space_group_name_Hall '-F 4 2 3'
loop_
_atom_site_label
_atom_site_type_symbol
_atom_site_fract_x
_atom_site_fract_y
_atom_site_fract_z
Sc1 Sc 0.2500 0.2500 0.2500
V1 V 0.0000 0.0000 0.0000
W1 W 0.0000 0.0000 0.5000
```

Properties
Crystal system: cubic
Distance to the lowest polymorph of the same formula (eV/atom): 0.000
Energy of formation from the pure elements (eV/atom): 0.43

# 5
VASP calculation (PBE-GGA) on a geometry-optimized SrZrTe2 structure.

Cell and atoms, written as CIF:
```
data_SrZrTe2
_cell_length_a 7.6474
_cell_length_b 7.6474
_cell_length_c 7.6474
_cell_angle_alpha 90.00
_cell_angle_beta 90.00
_cell_angle_gamma 90.00
_space_group_name_H-M_alt 'F m -3 m'
_space_group_IT_number 225
_space_group_name_Hall '-F 4 2 3'
loop_
_atom_site_label
_atom_site_type_symbol
_atom_site_fract_x
_atom_site_fract_y
_atom_site_fract_z
Sr1 Sr 0.0000 0.0000 0.0000
Zr1 Zr 0.0000 0.0000 0.5000
Te1 Te 0.2500 0.2500 0.2500
```

Properties
Crystal system: cubic
Energy relative to the elements, uncorrected (kJ/mol of formula units): -333.4
Distance to the lowest polymorph of the same formula (eV/atom): 0.211

# 6
VASP calculation (PBE-GGA) on a geometry-optimized K2NaGeS structure.

Cell and atoms, written as CIF:
```
data_K2NaGeS
_cell_length_a 6.4930
_cell_length_b 6.4930
_cell_length_c 4.7255
_cell_angle_alpha 90.00
_cell_angle_beta 90.00
_cell_angle_gamma 90.00
_space_group_name_H-M_alt 'P 4/m m m'
_space_group_IT_number 123
_space_group_name_Hall '-P 4 2'
loop_
_atom_site_label
_atom_site_type_symbol
_atom_site_fract_x
_atom_site_fract_y
_atom_site_fract_z
K1 K 0.0000 0.5000 0.0000
Na1 Na 0.0000 0.0000 0.0000
Ge1 Ge 0.5000 0.5000 0.5000
S1 S 0.0000 0.0000 0.5000
```

Properties
Crystal system: tetragonal
Energy relative to the elements, uncorrected (kJ/mol of formula units): 23.4

# 7
VASP calculation (PBE-GGA) on a geometry-optimized Hf2NiBi structure.

Cell and atoms, written as CIF:
```
data_Hf2NiBi
_cell_length_a 5.9072
_cell_length_b 3.8163
_cell_length_c 7.7059
_cell_angle_alpha 90.00
_cell_angle_beta 107.01
_cell_angle_gamma 90.00
_space_group_name_H-M_alt 'P 1 21/m 1'
_space_group_IT_number 11
_space_group_name_Hall '-P 2yb'
loop_
_atom_site_label
_atom_site_type_symbol
_atom_site_fract_x
_atom_site_fract_y
_atom_site_fract_z
Hf1 Hf 0.1508 0.2500 0.4004
Hf2 Hf 0.2197 0.7500 0.0501
Ni1 Ni 0.1105 0.2500 0.7854
Bi1 Bi 0.4029 0.7500 0.7124
```

Properties
Crystal system: monoclinic
Energy of formation from the pure elements (eV/atom): -0.25

# 8
VASP calculation (PBE-GGA) on a geometry-optimized CdIr2W structure.

Cell and atoms, written as CIF:
```
data_CdIr2W
_cell_length_a 3.8803
_cell_length_b 3.8803
_cell_length_c 8.4804
_cell_angle_alpha 90.00
_cell_angle_beta 90.00
_cell_angle_gamma 90.00
_space_group_name_H-M_alt 'I -4 m 2'
_space_group_IT_number 119
_space_group_name_Hall 'I -4 -2'
loop_
_atom_site_label
_atom_site_type_symbol
_atom_site_fract_x
_atom_site_fract_y
_atom_site_fract_z
Cd1 Cd 0.0000 0.0000 0.0000
Ir1 Ir 0.0000 0.0000 0.5000
Ir2 Ir 0.0000 0.5000 0.7500
W1 W 0.0000 0.5000 0.2500
```

Properties
Crystal system: tetragonal
Energy of formation from the pure elements (eV/atom): 0.25

# 9
VASP calculation (PBE-GGA) on a geometry-optimized Cs2TbRuO6 structure.

Cell and atoms, written as CIF:
```
data_Cs2TbRuO6
_cell_length_a 6.6367
_cell_length_b 6.6367
_cell_length_c 5.7629
_cell_angle_alpha 90.00
_cell_angle_beta 90.00
_cell_angle_gamma 120.00
_space_group_name_H-M_alt 'P -3 m 1'
_space_group_IT_number 164
_space_group_name_Hall '-P 3 2"'
loop_
_atom_site_label
_atom_site_type_symbol
_atom_site_fract_x
_atom_site_fract_y
_atom_site_fract_z
Cs1 Cs 0.3333 0.6667 0.3539
Tb1 Tb 0.0000 0.0000 0.0000
Ru1 Ru 0.0000 0.0000 0.5000
O1 O 0.1325 0.2650 0.7050
```

Properties
Crystal system: trigonal
Energy relative to the elements, uncorrected (kJ/mol of formula units): -1547.2

# 10
VASP calculation (PBE-GGA) on a geometry-optimized TeHI structure.

Cell and atoms, written as CIF:
```
data_TeHI
_cell_length_a 4.5559
_cell_length_b 5.7733
_cell_length_c 8.1030
_cell_angle_alpha 89.97
_cell_angle_beta 89.94
_cell_angle_gamma 75.74
_space_group_name_H-M_alt 'P 1'
_space_group_IT_number 1
_space_group_name_Hall 'P 1'
loop_
_atom_site_label
_atom_site_type_symbol
_atom_site_fract_x
_atom_site_fract_y
_atom_site_fract_z
Te1 Te 0.0000 0.0000 0.0000
Te2 Te 0.4623 0.6779 0.5001
H1 H 0.1132 0.9688 0.8011
H2 H 0.3501 0.7092 0.3012
I1 I 0.6442 0.1592 0.4674
I2 I 0.8184 0.5188 0.9672
```

Properties
Crystal system: triclinic
Distance to the lowest polymorph of the same formula (eV/atom): 0.044

# 11
VASP calculation (PBE-GGA) on a geometry-optimized Y6AlZn2 structure.

Cell and atoms, written as CIF:
```
data_Y6AlZn2
_cell_length_a 9.7388
_cell_length_b 9.9031
_cell_length_c 10.0355
_cell_angle_alpha 90.00
_cell_angle_beta 90.00
_cell_angle_gamma 90.00
_space_group_name_H-M_alt 'I m m m'
_space_group_IT_number 71
_space_group_name_Hall '-I 2 2'
loop_
_atom_site_label
_atom_site_type_symbol
_atom_site_fract_x
_atom_site_fract_y
_atom_site_fract_z
Y1 Y 0.0000 0.2175 0.1793
Y2 Y 0.1796 0.2327 0.5000
Y3 Y 0.2000 0.5000 0.2563
Al1 Al 0.0000 0.5000 0.0000
Al2 Al 0.0000 0.5000 0.5000
Zn1 Zn 0.0000 0.0000 0.3742
Zn2 Zn 0.1367 0.0000 0.0000
```

Properties
Crystal system: orthorhombic
Energy of formation from the pure elements (eV/atom): -0.25

# 12
VASP calculation (PBE-GGA) on a geometry-optimized CaSbPt structure.

Cell and atoms, written as CIF:
```
data_CaSbPt
_cell_length_a 7.4104
_cell_length_b 4.6206
_cell_length_c 7.9720
_cell_angle_alpha 90.00
_cell_angle_beta 90.00
_cell_angle_gamma 90.00
_space_group_name_H-M_alt 'P n m a'
_space_group_IT_number 62
_space_group_name_Hall '-P 2ac 2n'
loop_
_atom_site_label
_atom_site_type_symbol
_atom_site_fract_x
_atom_site_fract_y
_atom_site_fract_z
Ca1 Ca 0.0077 0.2500 0.1968
Sb1 Sb 0.1861 0.2500 0.5903
Pt1 Pt 0.1972 0.7500 0.4142
```

Properties
Crystal system: orthorhombic
Energy relative to the elements, uncorrected (kJ/mol of formula units): -285.8

| no. | density (Mg/m³) | uncorrected energy (eV for the cell shown) |
| --- | --- | --- |
| 1 | 5.86 | -97.039 |
| 2 | 6.79 | -69.716 |
| 3 | 4.04 | -14.287 |
| 4 | 7.21 | -132.100 |
| 5 | 6.45 | -79.876 |
| 6 | 1.72 | -12.016 |
| 7 | 12.49 | -61.171 |
| 8 | 17.70 | -61.186 |
| 9 | 4.70 | -61.398 |
| 10 | 4.11 | -15.442 |
| 11 | 4.74 | -189.231 |
| 12 | 8.69 | -60.508 |